1.
Compound: MgAsCl
Source: Alexandria
Functional: PBE
Structure: relaxed

Results
SG: P3m1, No. 156
E_form (uncorrected): -72.3 kJ/mol of atoms
VASP energy: -3.4461 eV per atom
excess energy over the best structure of this formula in the dataset: 0 meV/atom
DOS at the Fermi energy: 1.3 states/eV per cell

Cell lengths 3.3219, 3.3219, 7.8419 Å; angles 90.00, 90.00, 120.00 degrees
Closest atoms and distances in Å follow each position.
Sites, in units of the cell vectors:
Mg1 0.0000 0.0000 0.0000  3 Cl 2.44
As1 0.6667 0.3333 0.2719  3 Mg 2.87
Cl1 0.3333 0.6667 0.8082  3 Mg 2.44

---

2.
Compound: TaAs2P
Source: Alexandria
Functional: PBE
Structure: relaxed

Results
SG: P4/mmm, No. 123
VASP energy: -6.2723 eV per atom
E_form: 8.5 kcal/mol of atoms
DOS at the Fermi energy: 2.4 states/eV per cell

Cell lengths 2.8354, 2.8354, 9.2244 Å; angles 90.00, 90.00, 90.00 degrees
Closest atoms and distances in Å follow each position.
Sites, in units of the cell vectors:
Ta1 0.0000 0.0000 0.0000  4 Ta 2.84, 8 As 2.86
As1 0.5000 0.5000 0.2212  4 As 2.84, 4 Ta 2.86
As2 0.5000 0.5000 0.7788  4 As 2.84, 4 Ta 2.86
P1 0.0000 0.0000 0.5000  4 P 2.84

---

3.
Compound: LiSiRu2
Source: Alexandria
Functional: PBE
Structure: relaxed

Results
SG: Cmmm, No. 65
E_form (uncorrected): -6.8 kJ/mol of atoms
VASP energy: -6.5424 eV per atom
DOS at the Fermi energy: 2.3 states/eV per cell

Cell lengths 2.7501, 2.7501, 8.1071 Å; angles 90.00, 90.00, 115.58 degrees
Closest atoms and distances in Å follow each position.
Sites, in units of the cell vectors:
Li1 0.0000 0.0000 0.0000  4 Ru 2.66, 6 Li 2.75-2.93
Si1 0.0000 0.0000 0.5000  4 Ru 2.35
Ru1 0.5000 0.5000 0.2737  2 Si 2.35
Ru2 0.5000 0.5000 0.7263  2 Si 2.35